(1)
# KMg2ZnCu PBE-GGA optimized geometry
# * energy of formation: 0.112 eV per atom
# * calculated density: 2.85 Mg/m³
# * V: 126.2 Å³ per cell
data_KMg2ZnCu
_chemical_formula_sum 'K1 Mg2 Zn1 Cu1'
_cell_length_a 5.1006
_cell_length_b 5.1006
_cell_length_c 4.8516
_cell_angle_alpha 90.00
_cell_angle_beta 90.00
_cell_angle_gamma 90.00
_space_group_name_H-M_alt 'P 4/m m m'
_space_group_IT_number 123
_space_group_name_Hall '-P 4 2'
loop_
_atom_site_label
_atom_site_type_symbol
_atom_site_fract_x
_atom_site_fract_y
_atom_site_fract_z
_atom_site_occupancy
K1 K 0.0000 0.0000 0.0000 1
Mg1 Mg 0.0000 0.5000 0.5000 1
Zn1 Zn 0.5000 0.5000 0.0000 1
Cu1 Cu 0.5000 0.5000 0.5000 1

(2)
# KMn2Cu PBE-GGA optimized geometry
# * energy of formation: 1.082 eV per atom
# * calculated density: 4.47 Mg/m³
# * V: 315.9 Å³ per cell
# * offset from the most stable computed form: 440 meV per atom
data_KMn2Cu
_chemical_formula_sum 'K4 Mn8 Cu4'
_cell_length_a 6.8105
_cell_length_b 6.8105
_cell_length_c 6.8105
_cell_angle_alpha 90.00
_cell_angle_beta 90.00
_cell_angle_gamma 90.00
_space_group_name_H-M_alt 'F m -3 m'
_space_group_IT_number 225
_space_group_name_Hall '-F 4 2 3'
loop_
_atom_site_label
_atom_site_type_symbol
_atom_site_fract_x
_atom_site_fract_y
_atom_site_fract_z
_atom_site_occupancy
K1 K 0.0000 0.0000 0.0000 1
Mn1 Mn 0.2500 0.2500 0.2500 1
Cu1 Cu 0.0000 0.0000 0.5000 1